# LiLaHfPt

An optimized crystal structure of LiLaHfPt (GGA-PBE, OQMD).

Summary:
* total magnetization: 0.0 μB/f.u.
* crystal system: cubic

Cell: 7.0003 7.0003 7.0003 Å, 90.00 90.00 90.00°
Space group F-43m (No. 216)
One atom of each set of equivalent atoms:
1 Li 0.0000 0.0000 0.0000 (multiplicity 4)
2 La 0.2500 0.2500 0.7500 (multiplicity 4)
3 Hf 0.2500 0.2500 0.2500 (multiplicity 4)
4 Pt 0.0000 0.0000 0.5000 (multiplicity 4)

---

# Au4Br3F

An optimized crystal structure of Au4Br3F (GGA-PBE, OQMD).

Summary:
* crystal system: orthorhombic

Cell: 5.9441 6.1268 12.2210 Å, 90.00 90.00 90.00°
Space group Cmm2 (No. 35)
One atom of each set of equivalent atoms:
1 Au 0.0000 0.2440 0.0000 (multiplicity 4)
2 Au 0.2494 0.0000 0.5180 (multiplicity 4)
3 Br 0.0000 0.0000 0.3527 (multiplicity 2)
4 Br 0.0000 0.5000 0.1535 (multiplicity 2)
5 Br 0.0000 0.5000 0.6818 (multiplicity 2)
6 F 0.0000 0.0000 0.8743 (multiplicity 2)

---

# Nd3Ge4Pd2Au2

An optimized crystal structure of Nd3Ge4Pd2Au2 (GGA-PBE, OQMD).

Summary:
* total magnetization: 0.0 μB/f.u.
* crystal system: orthorhombic

Cell: 4.2348 4.3767 25.5107 Å, 90.00 90.00 90.00°
Space group Immm (No. 71)
One atom of each set of equivalent atoms:
1 Nd 0.0000 0.0000 0.0000 (multiplicity 2)
2 Nd 0.0000 0.5000 0.1500 (multiplicity 4)
3 Ge 0.0000 0.0000 0.4511 (multiplicity 4)
4 Ge 0.0000 0.5000 0.3029 (multiplicity 4)
5 Pd 0.0000 0.0000 0.2502 (multiplicity 4)
6 Au 0.0000 0.5000 0.4024 (multiplicity 4)

---

# NbReSi

An optimized crystal structure of NbReSi (GGA-PBE, OQMD).

Summary:
* total magnetization: 0.0 μB/f.u.
* crystal system: hexagonal

Cell: 4.3508 4.3508 5.7343 Å, 90.00 90.00 120.00°
Space group P6_3mc (No. 186)
One atom of each set of equivalent atoms:
1 Nb 0.0000 0.0000 0.0000 (multiplicity 2)
2 Re 0.3333 0.6667 0.3233 (multiplicity 2)
3 Si 0.3333 0.6667 0.7566 (multiplicity 2)

---

# Hf4Co3Mo2N3

An optimized crystal structure of Hf4Co3Mo2N3 (GGA-PBE, OQMD).

Summary:
* total magnetization: 0.0 μB/f.u.
* crystal system: monoclinic

Cell: 9.1520 5.3300 14.1311 Å, 90.00 103.51 90.00°
Space group C2/c (No. 15)
One atom of each set of equivalent atoms:
1 Hf 0.1125 0.0964 0.0924 (multiplicity 8)
2 Hf 0.2265 0.0816 0.4082 (multiplicity 8)
3 Co 0.0000 0.0770 0.2500 (multiplicity 4)
4 Co 0.2464 0.3428 0.2512 (multiplicity 8)
5 Mo 0.0296 0.4122 0.8332 (multiplicity 8)
6 N 0.0914 0.2252 0.5004 (multiplicity 8)
7 N 0.2500 0.2500 0.0000 (multiplicity 4)

---

# GaRe2Pd

An optimized crystal structure of GaRe2Pd (GGA-PBE, OQMD).

Summary:
* total magnetization: 0.5 μB/f.u.
* crystal system: cubic

Cell: 6.2081 6.2081 6.2081 Å, 90.00 90.00 90.00°
Space group F-43m (No. 216)
One atom of each set of equivalent atoms:
1 Ga 0.0000 0.0000 0.0000 (multiplicity 4)
2 Re 0.0000 0.0000 0.5000 (multiplicity 4)
3 Re 0.2500 0.2500 0.7500 (multiplicity 4)
4 Pd 0.2500 0.2500 0.2500 (multiplicity 4)

---

Per-record calculated total energy, eV for the cell shown: -96.08, -43.43, -117.19, -57.10, -458.19, -128.91